1.
# BaPdBr2 (PBE-GGA, optimized geometry)
# Crystal system: trigonal
# Density: 4.561 g/cm3
# Space group: R-3m (166)
# Formation energy from raw total energies: -462 meV/atom
# Raw total energy: -3.08 eV per atom
# D(E_F): 3.7 states/eV/cell
data_BaPdBr2
_cell_length_a 9.047
_cell_length_b 9.047
_cell_length_c 9.047
_cell_angle_alpha 28.28
_cell_angle_beta 28.28
_cell_angle_gamma 28.28
_symmetry_space_group_name_H-M 'P 1'
_symmetry_Int_Tables_number 1
loop_
_symmetry_equiv_pos_as_xyz
'x,y,z'
loop_
_atom_site_label
_atom_site_fract_x
_atom_site_fract_y
_atom_site_fract_z
Ba1 0.000 0.000 0.000
Pd1 0.500 0.500 0.500
Br1 0.119 0.119 0.119
Br2 0.881 0.881 0.881

=====

2.
# ThNi13 (PBE-GGA, optimized geometry)
# Crystal system: cubic
# Density: 9.379 g/cm3
# Space group: Fm-3c (226)
# Raw total energy: -6.02 eV per atom
# D(E_F): 55.2 states/eV/cell
data_ThNi13
_cell_length_a 7.928
_cell_length_b 7.928
_cell_length_c 7.928
_cell_angle_alpha 60.00
_cell_angle_beta 60.00
_cell_angle_gamma 60.00
_symmetry_space_group_name_H-M 'P 1'
_symmetry_Int_Tables_number 1
loop_
_symmetry_equiv_pos_as_xyz
'x,y,z'
loop_
_atom_site_label
_atom_site_fract_x
_atom_site_fract_y
_atom_site_fract_z
Th1 0.250 0.250 0.250
Th2 0.750 0.750 0.750
Ni1 0.000 0.000 0.000
Ni2 0.063 0.297 0.703
Ni3 0.063 0.703 0.937
Ni4 0.063 0.937 0.297
Ni5 0.203 0.437 0.797
Ni6 0.203 0.563 0.437
Ni7 0.203 0.797 0.563
Ni8 0.297 0.063 0.937
Ni9 0.297 0.703 0.063
Ni10 0.297 0.937 0.703
Ni11 0.437 0.203 0.563
Ni12 0.437 0.563 0.797
Ni13 0.437 0.797 0.203
Ni14 0.500 0.500 0.500
Ni15 0.563 0.203 0.797
Ni16 0.563 0.437 0.203
Ni17 0.563 0.797 0.437
Ni18 0.703 0.063 0.297
Ni19 0.703 0.297 0.937
Ni20 0.703 0.937 0.063
Ni21 0.797 0.203 0.437
Ni22 0.797 0.437 0.563
Ni23 0.797 0.563 0.203
Ni24 0.937 0.063 0.703
Ni25 0.937 0.297 0.063
Ni26 0.937 0.703 0.297

=====

3.
# BeTlSN2 (PBE-GGA, optimized geometry)
# Crystal system: tetragonal
# Density: 6.211 g/cm3
# Space group: P4/mmm (123)
# Formation energy from raw total energies: 1114 meV/atom
# Raw total energy: -4.26 eV per atom
# D(E_F): 2.1 states/eV/cell
data_BeTlSN2
_cell_length_a 3.629
_cell_length_b 3.629
_cell_length_c 5.553
_cell_angle_alpha 90.00
_cell_angle_beta 90.00
_cell_angle_gamma 90.00
_symmetry_space_group_name_H-M 'P 1'
_symmetry_Int_Tables_number 1
loop_
_symmetry_equiv_pos_as_xyz
'x,y,z'
loop_
_atom_site_label
_atom_site_fract_x
_atom_site_fract_y
_atom_site_fract_z
Be1 0.000 0.000 0.000
Tl1 0.500 0.500 0.500
S1 0.000 0.000 0.500
N1 0.000 0.500 0.000
N2 0.500 0.000 0.000

=====

4.
# HPt3Pb (PBE-GGA, optimized geometry)
# Crystal system: monoclinic
# Density: 15.922 g/cm3
# Space group: C2/m (12)
# Raw total energy: -5.10 eV per atom
# D(E_F): 4.0 states/eV/cell
data_HPt3Pb
_cell_length_a 7.666
_cell_length_b 7.666
_cell_length_c 5.725
_cell_angle_alpha 100.28
_cell_angle_beta 100.28
_cell_angle_gamma 30.04
_symmetry_space_group_name_H-M 'P 1'
_symmetry_Int_Tables_number 1
loop_
_symmetry_equiv_pos_as_xyz
'x,y,z'
loop_
_atom_site_label
_atom_site_fract_x
_atom_site_fract_y
_atom_site_fract_z
H1 0.108 0.108 0.313
H2 0.892 0.892 0.687
Pt1 0.191 0.191 0.610
Pt2 0.202 0.202 0.101
Pt3 0.387 0.387 0.700
Pt4 0.613 0.613 0.300
Pt5 0.798 0.798 0.899
Pt6 0.809 0.809 0.390
Pb1 0.420 0.420 0.210
Pb2 0.580 0.580 0.790